A plane-wave DFT calculation with PBE was carried out for a relaxed Al3CdBr crystal.

a = 5.409 Å, b = 5.409 Å, c = 5.409 Å
α = 90.00°, β = 90.00°, γ = 90.00°
Sites, in units of the cell vectors:
Al: 0.000 0.500 0.000
Al: 0.000 0.000 0.500
Al: 0.500 0.000 0.000
Br: 0.000 0.000 0.000
Cd: 0.500 0.500 0.500

Results
energy relative to the elements, uncorrected	0.792	eV/atom
space group	Pm-3m
calculated total energy	-1.971	eV/atom
N(E_F)	2.63	states/eV/cell
energy above the lowest structure with this stoichiometry	310	meV/atom

***

A plane-wave DFT calculation with PBE was carried out for a relaxed AlCd2Br crystal.

a = 3.295 Å, b = 5.172 Å, c = 5.808 Å
α = 90.00°, β = 90.00°, γ = 90.00°
Sites, in units of the cell vectors:
Al: 0.500 0.000 0.500
Br: 0.000 0.500 0.500
Cd: 0.000 0.000 0.000
Cd: 0.500 0.500 0.000

Results
energy relative to the elements, uncorrected	0.042	eV/atom
space group	Pmmm
calculated total energy	-1.770	eV/atom
N(E_F)	1.30	states/eV/cell
energy above the lowest structure with this stoichiometry	117	meV/atom